Computed, not measured: AlAs after structural relaxation at the GGA-PBE level of DFT.

Lattice parameters (Å, degrees): 7.228 7.357 8.243 90.00 90.00 90.00
Atoms (fractional coordinates):
As  0.668  0.404  0.710
Al  0.843  0.395  0.967
As  0.691  0.106  0.040
As  0.191  0.394  0.960
Al  0.132  0.436  0.257
As  0.309  0.606  0.460
Al  0.657  0.605  0.467
Al  0.868  0.936  0.243
Al  0.368  0.564  0.757
As  0.832  0.596  0.210
As  0.332  0.904  0.790
As  0.809  0.894  0.540
Al  0.343  0.105  0.033
As  0.168  0.096  0.290
Al  0.157  0.895  0.533
Al  0.632  0.064  0.743

Results
Total energy = -71.8 eV per cell
Volume = 438.4 Å³/cell
ΔH_f (0 K) = -289 meV/atom
Total magnetic moment = 0.0 Bohr magnetons per cell
DOS(E_F) = 0.00 states/eV/cell
Space-group type = P2_12_12_1